Computed, not measured: a geometry-optimized DyTmTl2 structure at the PBE level of DFT.

Summary:
ΔH_f (0 K) (eV/atom): -0.318
Crystal system: tetragonal
VASP energy (eV per cell): -15.08

abc: 3.763 3.763 7.564
angles: 90.00 90.00 90.00
Element x y z (fractional)
Dy 0.000 0.000 0.000
Tm 0.000 0.000 0.500
Tl 0.500 0.500 0.254
Tl 0.500 0.500 0.746



Computed, not measured: a geometry-optimized La3AsP2Pt9 structure at the PBE level of DFT.

Summary:
ΔH_f (0 K) (eV/atom): -0.760
Crystal system: trigonal
VASP energy (eV per cell): -96.02

abc: 6.482 6.482 8.550
angles: 90.00 90.00 120.00
Element x y z (fractional)
La 0.000 0.000 0.000
La 0.333 0.667 0.659
La 0.667 0.333 0.341
As 0.000 0.000 0.500
P 0.333 0.667 0.177
P 0.667 0.333 0.823
Pt 0.000 0.500 0.000
Pt 0.151 0.303 0.290
Pt 0.151 0.849 0.290
Pt 0.303 0.151 0.710
Pt 0.500 0.000 0.000
Pt 0.500 0.500 0.000
Pt 0.697 0.849 0.290
Pt 0.849 0.151 0.710
Pt 0.849 0.697 0.710



Number 1: mass density 11.479 g/cm3. Number 2: mass density 12.325 g/cm3.